Entry P
Nb2PtRh4 | PBE-GGA | relaxed

POSCAR file:
```
Nb2PtRh4
1.0
4.808 0.000 0.000
0.000 4.808 0.000
2.404 2.404 6.270
Nb Rh Pt
2 4 1
direct
0.388 0.388 0.225 Nb
0.612 0.612 0.775 Nb
0.209 0.209 0.582 Rh
0.791 0.791 0.418 Rh
0.000 0.500 0.000 Rh
0.500 0.000 0.000 Rh
0.000 0.000 0.000 Pt
```


Entry Q
Nb2PtRh4 | PBE-GGA | relaxed

POSCAR file:
```
Nb2PtRh4
1.0
5.586 0.003 -0.001
-0.005 5.611 0.005
-2.789 -2.810 3.697
Nb Pt Rh
2 1 4
direct
0.786 0.268 0.572 Nb
0.285 0.854 0.571 Nb
0.786 0.793 0.572 Pt
0.813 0.292 0.113 Rh
0.272 0.751 0.030 Rh
0.299 0.292 0.112 Rh
0.758 0.750 0.030 Rh
```


Bottom line: entry Q, by a margin of 114.3 kJ/mol of atoms.


Entry P
Nb3PtRh2 | PBE-GGA | relaxed

POSCAR file:
```
Nb3PtRh2
1.0
-0.503 -2.540 -1.028
4.068 -1.750 2.333
-5.987 0.508 5.450
Nb Pt Rh
3 1 2
direct
0.000 0.500 0.000 Nb
0.818 0.818 0.637 Nb
0.182 0.182 0.363 Nb
0.000 0.000 0.000 Pt
0.657 0.657 0.314 Rh
0.343 0.343 0.686 Rh
```


Entry Q
Nb3PtRh2 | PBE-GGA | relaxed

POSCAR file:
```
Nb3PtRh2
1.0
2.859 0.000 0.000
0.000 2.859 0.000
0.000 0.000 11.883
Nb Pt Rh
3 1 2
direct
0.000 0.000 0.000 Nb
0.000 0.000 0.673 Nb
0.000 0.000 0.327 Nb
0.500 0.500 0.500 Pt
0.500 0.500 0.835 Rh
0.500 0.500 0.165 Rh
```


Bottom line: entry Q, by a margin of 45.5 kJ/mol of atoms.


Entry P
NbPt2Rh6 | PBE-GGA | relaxed

POSCAR file:
```
NbPt2Rh6
1.0
3.908 0.000 0.000
1.954 4.356 -0.054
1.954 1.908 7.828
Nb Pt Rh
1 2 6
direct
0.000 0.500 0.500 Nb
0.333 0.612 0.723 Pt
0.667 0.388 0.277 Pt
0.662 0.728 0.949 Rh
0.338 0.272 0.051 Rh
0.002 0.828 0.168 Rh
0.335 0.944 0.386 Rh
0.998 0.172 0.832 Rh
0.665 0.056 0.614 Rh
```


Entry Q
NbPt2Rh6 | PBE-GGA | relaxed

POSCAR file:
```
NbPt2Rh6
1.0
3.777 0.001 0.990
0.954 6.345 4.058
0.099 1.996 7.324
Nb Pt Rh
1 2 6
direct
0.083 0.918 0.918 Nb
0.877 0.624 0.624 Pt
0.087 0.412 0.412 Pt
0.685 0.066 0.564 Rh
0.304 0.979 0.415 Rh
0.304 0.415 0.979 Rh
0.488 0.765 0.258 Rh
0.488 0.258 0.765 Rh
0.685 0.564 0.066 Rh
```


Bottom line: entry P, by a margin of 34.0 kJ/mol of atoms.


Entry P
NbPt3Rh2 | PBE-GGA | relaxed

POSCAR file:
```
NbPt3Rh2
1.0
2.786 0.000 0.000
0.000 8.001 -0.527
-1.393 -2.576 8.801
Nb Pt Rh
2 6 4
direct
0.329 0.958 0.658 Nb
0.671 0.042 0.342 Nb
0.299 0.264 0.598 Pt
0.070 0.766 0.140 Pt
0.437 0.558 0.873 Pt
0.701 0.736 0.402 Pt
0.563 0.442 0.127 Pt
0.930 0.234 0.860 Pt
0.306 0.624 0.612 Rh
0.694 0.376 0.388 Rh
0.932 0.864 0.864 Rh
0.068 0.136 0.136 Rh
```


Entry Q
NbPt3Rh2 | PBE-GGA | relaxed

POSCAR file:
```
NbPt3Rh2
1.0
-2.061 1.577 -2.964
2.330 -4.314 -3.916
-4.755 -5.998 2.732
Nb Pt Rh
2 6 4
direct
0.147 0.281 0.294 Nb
0.853 0.719 0.706 Nb
0.695 0.951 0.389 Pt
0.079 0.889 0.157 Pt
0.391 0.432 0.782 Pt
0.609 0.568 0.218 Pt
0.921 0.111 0.843 Pt
0.305 0.049 0.611 Pt
0.462 0.811 0.925 Rh
0.538 0.189 0.075 Rh
0.234 0.646 0.467 Rh
0.766 0.354 0.533 Rh
```


Bottom line: entry Q, by a margin of 7.8 kJ/mol of atoms.


Entry P
NbPt2Rh2 | PBE-GGA | relaxed

POSCAR file:
```
NbPt2Rh2
1.0
2.944 0.000 0.000
-1.472 5.093 -0.820
0.000 -0.262 5.734
Nb Pt Rh
1 2 2
direct
0.500 0.500 0.000 Nb
0.189 0.878 0.286 Pt
0.811 0.122 0.714 Pt
0.087 0.674 0.702 Rh
0.913 0.326 0.298 Rh
```


Entry Q
NbPt2Rh2 | PBE-GGA | relaxed

POSCAR file:
```
NbPt2Rh2
1.0
-1.745 4.511 -0.689
-2.622 -1.595 -3.801
-0.742 -2.232 4.589
Nb Pt Rh
1 2 2
direct
0.000 0.000 0.000 Nb
0.658 0.658 0.316 Pt
0.342 0.342 0.684 Pt
0.250 0.750 0.500 Rh
0.750 0.250 0.500 Rh
```


Bottom line: entry P, by a margin of 52.4 kJ/mol of atoms.


Entry P
Nb2Ru4Pt | PBE-GGA | relaxed

POSCAR file:
```
Nb2Ru4Pt
1.0
9.769 0.000 0.000
0.000 4.495 -2.216
0.000 -0.433 5.259
Nb Ru Pt
4 8 2
direct
0.040 0.671 0.326 Nb
0.960 0.329 0.674 Nb
0.540 0.829 0.674 Nb
0.460 0.171 0.326 Nb
0.773 0.751 0.085 Ru
0.812 0.761 0.579 Ru
0.688 0.261 0.579 Ru
0.727 0.251 0.085 Ru
0.273 0.749 0.915 Ru
0.312 0.739 0.421 Ru
0.188 0.239 0.421 Ru
0.227 0.249 0.915 Ru
0.000 0.000 0.000 Pt
0.500 0.500 0.000 Pt
```


Entry Q
Nb2Ru4Pt | PBE-GGA | relaxed

POSCAR file:
```
Nb2Ru4Pt
1.0
4.716 0.000 0.000
0.000 4.716 0.000
2.358 2.358 6.390
Ru Nb Pt
4 2 1
direct
0.208 0.208 0.584 Ru
0.792 0.792 0.416 Ru
0.000 0.500 0.000 Ru
0.500 0.000 0.000 Ru
0.382 0.382 0.237 Nb
0.618 0.618 0.763 Nb
0.000 0.000 0.000 Pt
```


Bottom line: entry P, by a margin of 130.5 kJ/mol of atoms.